[1]
Below is a geometry-optimized LiZnPd3 structure, with properties calculated at the GGA-PBE level.

ΔE_f in eV per atom: 0.134
Magnetic moment in μB per formula unit: 0.00
V in Å³/cell: 76.2
Energy above the lowest structure with this stoichiometry in meV per atom: 537

```
5
Lattice="4.240 0.000 0.000 0.000 4.240 0.000 0.000 0.000 4.240" Properties=species:S:1:pos:R:3 pbc="T T T"
Li 0.000 0.000 0.000
Zn 2.120 2.120 2.120
Pd 0.000 0.000 2.120
Pd 0.000 2.120 0.000
Pd 2.120 0.000 0.000
```

[2]
Below is a geometry-optimized Li4Zn5Pd2 structure, with properties calculated at the GGA-PBE level.

ΔE_f in eV per atom: -0.327
Magnetic moment in μB per formula unit: 0.00
V in Å³/cell: 164.4
Energy above the lowest structure with this stoichiometry in meV per atom: 0

```
11
Lattice="4.517 -2.654 0.000 4.517 2.654 0.000 -0.271 0.000 6.855" Properties=species:S:1:pos:R:3 pbc="T T T"
Li 1.308 0.000 0.830
Li 1.478 0.000 3.326
Li 7.286 0.000 3.529
Li 7.456 0.000 6.025
Zn 3.539 1.316 1.310
Zn 5.225 1.316 5.545
Zn 4.382 0.000 3.427
Zn 3.539 -1.316 1.310
Zn 5.225 -1.316 5.545
Pd 2.958 0.000 5.708
Pd 5.806 0.000 1.147
```

[3]
Below is a geometry-optimized LiZn2Pd6 structure, with properties calculated at the GGA-PBE level.

ΔE_f in eV per atom: -0.417
Magnetic moment in μB per formula unit: 0.00
V in Å³/cell: 260.4

```
18
Lattice="7.974 0.000 0.000 0.000 7.974 0.000 0.000 0.000 4.095" Properties=species:S:1:pos:R:3 pbc="T T T"
Li 0.000 0.000 0.000
Li 3.987 3.987 2.048
Zn 1.578 1.578 2.048
Zn 2.409 5.565 0.000
Zn 5.565 2.409 0.000
Zn 6.396 6.396 2.048
Pd 0.223 2.596 0.000
Pd 1.035 6.939 2.048
Pd 1.391 4.210 2.048
Pd 2.596 0.223 0.000
Pd 2.952 2.952 0.000
Pd 3.764 6.583 2.048
Pd 4.210 1.391 2.048
Pd 5.022 5.022 0.000
Pd 5.378 7.751 0.000
Pd 6.583 3.764 2.048
Pd 6.939 1.035 2.048
Pd 7.751 5.378 0.000
```

[4]
Below is a geometry-optimized Li5Zn2Pd3 structure, with properties calculated at the GGA-PBE level.

ΔE_f in eV per atom: -0.244
Magnetic moment in μB per formula unit: 0.00
V in Å³/cell: 302.6

```
20
Lattice="-4.663 6.508 2.492 4.663 -6.508 2.492 4.663 6.508 -2.492" Properties=species:S:1:pos:R:3 pbc="T T T"
Li 5.520 2.080 0.000
Li 0.000 0.000 1.246
Li 2.358 0.000 1.246
Li 6.969 0.000 1.246
Li 0.857 4.428 0.000
Li 3.807 2.080 2.492
Li -2.306 6.508 1.246
Li 2.306 6.508 1.246
Li 0.000 0.000 3.739
Li -0.857 4.428 2.492
Zn 3.725 -4.184 2.492
Zn 3.725 4.184 0.000
Zn 0.938 2.324 2.492
Zn 0.938 10.693 0.000
Pd 1.847 2.172 0.000
Pd 4.663 0.000 1.246
Pd 1.847 -2.172 2.492
Pd 2.816 8.680 0.000
Pd 0.000 6.508 1.246
Pd 2.816 4.336 2.492
```

[5]
Below is a geometry-optimized Li12Zn7Pd structure, with properties calculated at the GGA-PBE level.

ΔE_f in eV per atom: -0.168
Magnetic moment in μB per formula unit: 0.00
V in Å³/cell: 322.1

```
20
Lattice="5.458 3.151 3.121 -5.458 3.151 3.121 0.000 -6.302 3.121" Properties=species:S:1:pos:R:3 pbc="T T T"
Li -4.013 0.664 3.123
Li -0.017 -1.567 2.398
Li -1.348 0.799 2.398
Li 1.432 -3.807 3.123
Li -2.581 -3.144 6.241
Li 1.366 0.769 2.398
Li -1.366 -0.769 6.966
Li 2.581 3.144 3.123
Li -1.432 3.807 6.241
Li 1.348 -0.799 6.966
Li 0.017 1.567 6.966
Li 4.013 -0.664 6.241
Zn 0.000 0.000 0.000
Zn -2.258 -1.295 4.258
Zn -0.007 -2.603 5.106
Zn -2.251 1.307 5.106
Zn 2.251 -1.307 4.258
Zn 0.007 2.603 4.258
Zn 2.258 1.295 5.106
Pd 0.000 0.000 4.682
```

[6]
Below is a geometry-optimized Li3Zn3Pd structure, with properties calculated at the GGA-PBE level.

ΔE_f in eV per atom: -0.207
Magnetic moment in μB per formula unit: 0.00
V in Å³/cell: 112.4
Energy above the lowest structure with this stoichiometry in meV per atom: 0

```
7
Lattice="4.180 2.413 1.857 -4.180 2.413 1.857 0.000 -4.827 1.857" Properties=species:S:1:pos:R:3 pbc="T T T"
Li -1.575 -0.909 1.857
Li 1.575 -0.909 1.857
Li 0.000 1.818 1.857
Zn -2.011 -1.161 4.350
Zn 2.011 -1.161 4.350
Zn 0.000 2.322 4.350
Pd 0.000 0.000 5.293
```

[7]
Below is a geometry-optimized Li7Zn3Pd2 structure, with properties calculated at the GGA-PBE level.

ΔE_f in eV per atom: -0.228
Magnetic moment in μB per formula unit: 0.00
V in Å³/cell: 184.7

```
12
Lattice="4.403 0.000 0.000 0.000 2.804 0.000 -2.176 0.000 14.968" Properties=species:S:1:pos:R:3 pbc="T T T"
Li 0.000 0.000 0.000
Li -0.012 1.402 2.946
Li 0.013 1.402 8.122
Li 0.036 0.000 12.770
Li 2.190 0.000 2.197
Li 2.213 1.402 6.845
Li 2.238 1.402 12.022
Zn -0.003 0.000 5.334
Zn 2.201 1.402 0.000
Zn 2.230 0.000 9.634
Pd 0.033 1.402 10.549
Pd 2.194 1.402 4.419
```

[8]
Below is a geometry-optimized Li2ZnPd2 structure, with properties calculated at the GGA-PBE level.

ΔE_f in eV per atom: -0.388
Magnetic moment in μB per formula unit: 0.00
V in Å³/cell: 156.8
Energy above the lowest structure with this stoichiometry in meV per atom: 78

```
10
Lattice="6.484 0.000 0.000 0.000 6.484 0.000 0.000 0.000 3.729" Properties=species:S:1:pos:R:3 pbc="T T T"
Li 1.027 2.215 0.000
Li 2.215 5.457 0.000
Li 4.269 1.027 0.000
Li 5.457 4.269 0.000
Zn 0.000 0.000 1.865
Zn 3.242 3.242 1.865
Pd 0.941 4.182 1.865
Pd 2.301 0.941 1.865
Pd 4.182 5.543 1.865
Pd 5.543 2.301 1.865
```